(1)
VASP calculation (PBE-GGA) on an optimized crystal structure of La3TeI.

Lattice parameters (Å, degrees): 6.029 6.029 6.029 90.00 90.00 90.00
Sites, in units of the cell vectors:
La 0.000 0.000 0.500
La 0.000 0.500 0.000
La 0.500 0.000 0.000
Te 0.000 0.000 0.000
I 0.500 0.500 0.500

SG: Pm-3m (221)
Raw formation energy (eV/atom): -0.323
Crystal system: cubic
E above lowest polymorph (eV per atom): 0.000
DOS at the Fermi energy (states/eV/atom): 2.80
Theoretical density (g/cm³): 5.086

(2)
VASP calculation (PBE-GGA) on an optimized crystal structure of ReRhSe2.

Lattice parameters (Å, degrees): 4.458 4.458 4.458 60.00 60.00 60.00
Sites, in units of the cell vectors:
Re 0.000 0.000 0.000
Rh 0.500 0.500 0.500
Se 0.250 0.250 0.250
Se 0.750 0.750 0.750

SG: Fm-3m (225)
Raw formation energy (eV/atom): 0.385
Crystal system: cubic
E above lowest polymorph (eV per atom): 0.354
DOS at the Fermi energy (states/eV/atom): 0.94
Theoretical density (g/cm³): 11.852

| no. | raw total energy (eV per atom) |
| --- | --- |
| 1 | -4.22 |
| 2 | -6.31 |